NbCoNiAs: optimized geometry, GGA-PBE.

Space-group type ... F-43m, No. 216
Energy ... -27.7 eV for the cell shown
Offset from the most stable computed form ... 22 meV per atom
Crystal system ... cubic

Geometry as CIF:
```
data_NbCoNiAs
_chemical_formula_sum 'Nb1 Co1 Ni1 As1'
_cell_length_a 4.258
_cell_length_b 4.258
_cell_length_c 4.258
_cell_angle_alpha 60.00
_cell_angle_beta 60.00
_cell_angle_gamma 60.00
_symmetry_space_group_name_H-M 'P 1'
_symmetry_Int_Tables_number 1
loop_
_symmetry_equiv_pos_as_xyz
'x,y,z'
loop_
_atom_site_label
_atom_site_fract_x
_atom_site_fract_y
_atom_site_fract_z
_atom_site_occupancy
Nb1 0.000 0.000 0.000 1
Co1 0.750 0.750 0.750 1
Ni1 0.500 0.500 0.500 1
As1 0.250 0.250 0.250 1
```